The following is a GGA-PBE calculation of a relaxed NaTlPbS2 crystal, from Alexandria.

* formation energy without anion corrections: -0.577 eV per atom

Lattice parameters (Å, degrees): 4.6741 7.8176 11.0912 113.64 90.00 107.39
With the nearest neighbours (Å) after each atom.
Atoms (fractional coordinates):
Na 0.7266 0.4532 0.0959  4 S 2.73-2.80
Na 0.2734 0.5468 0.9041  4 S 2.73-2.80
Tl 0.3454 0.6908 0.4422  3 S 2.90-3.07
Tl 0.6546 0.3092 0.5578  3 S 2.90-3.07
Pb 0.0723 0.1446 0.1983  2 S 2.65-2.87
Pb 0.9277 0.8554 0.8017  2 S 2.65-2.87
S 0.2988 0.5977 0.6712  1 Na 2.76, 3 Tl 2.90-3.07, 2 Pb 2.99
S 0.7012 0.4023 0.3288  1 Na 2.76, 3 Tl 2.90-3.07, 2 Pb 2.99
S 0.1274 0.2549 0.0004  2 Pb 2.65-2.87, 3 Na 2.73-2.80
S 0.8726 0.7451 0.9996  2 Pb 2.65-2.87, 3 Na 2.73-2.80